1.
Computed, not measured: BiS after structural relaxation at the GGA-PBE level of DFT.

Structure (extended XYZ):
```
8
Lattice="6.5258 0.0000 0.0000 0.0000 6.5258 0.0000 0.0000 0.0000 6.5258" Properties=species:S:1:pos:R:3 pbc="T T T"
S 4.8943 4.8943 1.6314
S 4.8943 1.6314 4.8943
S 1.6314 1.6314 1.6314
S 1.6314 4.8943 4.8943
Bi 0.0000 0.0000 0.0000
Bi 3.2629 3.2629 0.0000
Bi 3.2629 0.0000 3.2629
Bi 0.0000 3.2629 3.2629
```

Output
Magnetization, μB per formula unit: 0.00
Crystal system: cubic
Total energy, eV/atom: -3.879
ΔE_f (raw), kJ/mol of atoms: 12.1

2.
Computed, not measured: BiS after structural relaxation at the GGA-PBE level of DFT.

Structure (extended XYZ):
```
8
Lattice="-1.0955 -3.8918 2.6038 4.2968 2.0996 0.5052 -4.4482 7.0265 8.6307" Properties=species:S:1:pos:R:3 pbc="T T T"
Bi -2.2866 3.6119 4.4365
Bi -2.8679 3.7443 8.8306
Bi -0.0625 0.0987 0.1212
Bi 1.1536 2.2281 3.8157
S -1.1451 1.8088 2.2218
S -3.3692 5.3221 6.5371
S 2.2721 0.4614 1.6457
S -1.7495 1.9776 6.6605
```

Output
Magnetization, μB per formula unit: 0.00
Crystal system: hexagonal
Total energy, eV/atom: -4.002
ΔE_f (raw), kJ/mol of atoms: 0.2

3.
Computed, not measured: BiS after structural relaxation at the GGA-PBE level of DFT.

Structure (extended XYZ):
```
16
Lattice="-8.9003 -1.2041 1.6440 -0.6372 -5.3519 -7.3701 1.9356 -7.2990 5.1329" Properties=species:S:1:pos:R:3 pbc="T T T"
S -2.9154 -6.4865 -2.2765
S -2.1953 -7.0315 1.2231
S -6.0792 -8.0621 4.7969
S -1.0639 -1.9390 -0.0830
S -5.2283 -5.3255 0.2465
S -4.8649 -8.8665 -0.3797
S -0.1290 -11.0489 -1.6941
S -7.9319 -6.6600 -4.2064
Bi -7.2866 -3.0153 1.0299
Bi -5.6163 -6.8100 -2.0148
Bi -4.8021 -7.4261 1.9417
Bi -2.5982 -4.7353 -0.2028
Bi -6.3992 -11.6628 -0.4994
Bi -1.6384 -5.8505 -5.1317
Bi -2.1873 -8.7386 -0.9107
Bi 0.1203 -7.1814 3.4147
```

Output
Magnetization, μB per formula unit: 0.44
Crystal system: cubic
Total energy, eV/atom: -3.874
ΔE_f (raw), kJ/mol of atoms: 12.5

4.
Computed, not measured: BiS after structural relaxation at the GGA-PBE level of DFT.

Structure (extended XYZ):
```
4
Lattice="4.2207 0.0000 0.0000 0.0000 3.8909 0.0000 -0.4823 0.0000 6.9062" Properties=species:S:1:pos:R:3 pbc="T T T"
Bi 2.1816 0.0000 0.4043
Bi 3.4744 0.0000 3.3271
S 2.0059 1.9454 4.3558
S 0.4039 1.9454 0.9822
```

Output
Magnetization, μB per formula unit: 0.00
Crystal system: monoclinic
Total energy, eV/atom: -4.169
ΔE_f (raw), kJ/mol of atoms: -15.9

5.
Computed, not measured: Bi5S7 after structural relaxation at the GGA-PBE level of DFT.

Structure (extended XYZ):
```
12
Lattice="4.0543 0.0000 0.7428 1.7102 6.4647 2.1014 -0.1651 0.3057 12.3366" Properties=species:S:1:pos:R:3 pbc="T T T"
S 1.3388 4.5403 4.1282
S 4.2605 2.2301 11.0526
S 3.7536 5.0190 13.8194
S 4.3932 5.9647 10.3284
S 2.7997 3.3852 7.5904
S 1.2061 0.8057 4.8524
S 1.8457 1.7514 1.3614
Bi 2.0662 3.7813 11.5934
Bi 3.5331 2.9891 3.5874
Bi 0.0000 0.0000 0.0000
Bi 0.7266 1.4283 7.4695
Bi 4.8727 5.3421 7.7113
```

Output
Magnetization, μB per formula unit: 0.00
Crystal system: monoclinic
Total energy, eV/atom: -4.322
ΔE_f (raw), kJ/mol of atoms: -28.7

6.
Computed, not measured: BiS after structural relaxation at the GGA-PBE level of DFT.

Structure (extended XYZ):
```
16
Lattice="9.0345 0.0000 0.0000 0.0000 9.0345 0.0000 0.0000 0.0000 5.5866" Properties=species:S:1:pos:R:3 pbc="T T T"
S 1.7703 5.3664 2.7933
S 7.2642 3.6681 2.7933
S 3.6681 1.7703 2.7933
S 0.8492 2.7470 0.0000
S 5.3664 7.2642 2.7933
S 2.7470 8.1853 0.0000
S 6.2875 0.8492 0.0000
S 8.1853 6.2875 0.0000
Bi 6.9026 3.8231 0.0000
Bi 5.2114 6.9026 0.0000
Bi 6.6492 0.6942 2.7933
Bi 8.3403 6.6492 2.7933
Bi 2.1319 5.2114 0.0000
Bi 0.6942 2.3853 2.7933
Bi 3.8231 2.1319 0.0000
Bi 2.3853 8.3403 2.7933
```

Output
Magnetization, μB per formula unit: 0.00
Crystal system: tetragonal
Total energy, eV/atom: -4.142
ΔE_f (raw), kJ/mol of atoms: -13.3

7.
Computed, not measured: Bi3S5 after structural relaxation at the GGA-PBE level of DFT.

Structure (extended XYZ):
```
16
Lattice="5.5428 0.0000 0.0000 0.0000 8.7507 0.0000 0.0000 -4.3753 7.5783" Properties=species:S:1:pos:R:3 pbc="T T T"
S 1.3857 1.1609 2.0108
S 0.0000 0.0000 5.0522
S 2.7714 4.3753 2.5261
S 4.1571 3.2144 5.5675
S 1.3857 -3.2144 5.5675
S 2.7714 0.0000 5.0522
S 4.1571 -1.1609 2.0108
S 1.3857 6.4288 0.0000
S 0.0000 4.3753 2.5261
S 4.1571 2.3218 0.0000
Bi 4.1571 -2.8523 4.9404
Bi 4.1571 5.7046 0.0000
Bi 1.3857 -1.5230 2.6380
Bi 1.3857 3.0461 0.0000
Bi 1.3857 2.8523 4.9404
Bi 4.1571 1.5230 2.6380
```

Output
Magnetization, μB per formula unit: 0.00
Crystal system: hexagonal
Total energy, eV/atom: -4.193
ΔE_f (raw), kJ/mol of atoms: -15.3

8.
Computed, not measured: BiS2 after structural relaxation at the GGA-PBE level of DFT.

Structure (extended XYZ):
```
6
Lattice="4.3957 0.7478 1.0251 0.7397 4.3970 1.0251 -1.8391 -1.8425 7.1680" Properties=species:S:1:pos:R:3 pbc="T T T"
S 1.2320 -0.5933 7.0448
S 0.3239 2.1521 3.4608
S 2.0643 3.8957 2.1733
S 2.9724 1.1503 5.7573
Bi 0.2763 2.1010 6.4011
Bi 3.0200 1.2014 2.8171
```

Output
Magnetization, μB per formula unit: 0.00
Crystal system: monoclinic
Total energy, eV/atom: -4.084
ΔE_f (raw), kJ/mol of atoms: -3.8

9.
Computed, not measured: BiS2 after structural relaxation at the GGA-PBE level of DFT.

Structure (extended XYZ):
```
6
Lattice="4.0949 0.0000 0.0000 -2.0475 7.4251 -2.2706 0.0000 -0.0398 5.7479" Properties=species:S:1:pos:R:3 pbc="T T T"
S 0.0000 4.2144 3.1753
S 2.0475 3.1709 0.3021
S 0.0000 0.4640 1.9400
S 2.0475 6.9213 1.5374
Bi 0.0000 5.0794 0.7163
Bi 2.0475 2.3059 2.7611
```

Output
Magnetization, μB per formula unit: 0.00
Crystal system: monoclinic
Total energy, eV/atom: -4.305
ΔE_f (raw), kJ/mol of atoms: -25.1

10.
Computed, not measured: BiS after structural relaxation at the GGA-PBE level of DFT.

Structure (extended XYZ):
```
8
Lattice="5.9593 0.0000 0.0000 0.0000 5.9593 0.0000 0.0000 0.0000 5.9409" Properties=species:S:1:pos:R:3 pbc="T T T"
S 1.3049 1.3049 2.9705
S 4.2845 1.6748 0.0000
S 1.6748 4.2845 0.0000
S 4.6545 4.6545 2.9705
Bi 1.5332 4.4261 2.9705
Bi 1.4464 1.4464 0.0000
Bi 4.5129 4.5129 0.0000
Bi 4.4261 1.5332 2.9705
```

Output
Magnetization, μB per formula unit: 0.00
Crystal system: tetragonal
Total energy, eV/atom: -4.080
ΔE_f (raw), kJ/mol of atoms: -7.3

11.
Computed, not measured: Bi2SbS4 after structural relaxation at the GGA-PBE level of DFT.

Structure (extended XYZ):
```
14
Lattice="6.1482 0.7430 0.0000 -2.3643 5.7238 0.0000 0.0000 0.0000 9.7578" Properties=species:S:1:pos:R:3 pbc="T T T"
S 3.0741 0.3715 2.8605
S 0.6201 2.4505 4.8789
S -1.1822 2.8619 2.0184
S 3.1637 4.0163 4.8789
S -1.1822 2.8619 7.7394
S 1.8324 1.7411 0.0000
S 3.0741 0.3715 6.8973
S 1.9514 4.7257 0.0000
Bi 4.6595 1.7624 0.0000
Bi -0.7463 4.9254 4.8789
Bi 4.5302 1.5414 4.8789
Bi -0.8756 4.7044 0.0000
Sb 1.8919 3.2334 7.3183
Sb 1.8919 3.2334 2.4394
```

Output
Magnetization, μB per formula unit: 0.00
Crystal system: orthorhombic
Total energy, eV/atom: -4.110
ΔE_f (raw), kJ/mol of atoms: -5.2

12.
Computed, not measured: BiSbS4 after structural relaxation at the GGA-PBE level of DFT.

Structure (extended XYZ):
```
6
Lattice="3.8113 0.0000 0.0000 0.0000 6.7340 -0.1065 0.0000 -0.0824 6.8099" Properties=species:S:1:pos:R:3 pbc="T T T"
Sb 0.0000 0.0000 0.0000
S 0.0000 1.5023 2.0012
S 1.9056 1.4267 5.8454
S 0.0000 5.1493 4.7022
S 1.9056 5.2249 0.8579
Bi 1.9056 -0.0412 3.4050
```

Output
Magnetization, μB per formula unit: 0.00
Crystal system: monoclinic
Total energy, eV/atom: -4.204
Relative energy among the computed polymorphs, eV per formula unit: 0.017
ΔE_f (raw), kJ/mol of atoms: -11.4

13.
Computed, not measured: Bi2Sb2S after structural relaxation at the GGA-PBE level of DFT.

Structure (extended XYZ):
```
10
Lattice="-7.5300 0.0573 2.4429 -1.0256 -7.2578 -2.9909 1.3776 -1.9635 4.2924" Properties=species:S:1:pos:R:3 pbc="T T T"
Sb -0.9304 -5.5418 0.5799
Sb -2.2351 -1.8991 2.6649
Sb -6.2476 -3.6221 3.1645
Sb -4.9430 -7.2649 1.0795
S -4.2778 -3.6002 -0.2740
S 0.0000 0.0000 0.0000
Bi -1.8113 -2.1685 -0.4107
Bi -3.0826 -5.7916 -1.6600
Bi -6.7443 -5.0319 -0.1373
Bi -5.4730 -1.4088 1.1120
```

Output
Magnetization, μB per formula unit: 0.00
Crystal system: tetragonal
Total energy, eV/atom: -3.808
Relative energy among the computed polymorphs, eV per formula unit: 0.000
ΔE_f (raw), kJ/mol of atoms: 21.1

14.
Computed, not measured: BiSb4S8 after structural relaxation at the GGA-PBE level of DFT.

Structure (extended XYZ):
```
13
Lattice="8.1216 0.0000 0.0000 4.0608 7.0335 0.0000 4.0608 2.3445 6.6312" Properties=species:S:1:pos:R:3 pbc="T T T"
S 8.1216 4.6890 1.0030
S 4.0608 2.3445 3.9309
S 6.2333 5.7792 4.0865
S 4.0608 4.4876 0.9001
S 5.9167 1.2730 0.9001
S 8.1216 2.5086 4.0865
S 10.0098 5.7792 4.0865
S 2.2048 1.2730 0.9001
Bi 12.1823 7.0335 4.9734
Sb 5.9663 3.4446 2.4357
Sb 8.1216 4.6890 5.9553
Sb 8.1216 7.1777 2.4357
Sb 10.2769 3.4446 2.4357
```

Output
Magnetization, μB per formula unit: 0.00
Crystal system: cubic
Total energy, eV/atom: -4.276
ΔE_f (raw), kJ/mol of atoms: -16.4

15.
Computed, not measured: Bi2Sb2S7 after structural relaxation at the GGA-PBE level of DFT.

Structure (extended XYZ):
```
11
Lattice="11.2183 1.6427 2.3705 0.7295 6.8613 0.2630 0.7295 -2.1632 6.5166" Properties=species:S:1:pos:R:3 pbc="T T T"
Bi 6.3386 1.4581 5.7616
Bi 6.3386 4.8826 3.3885
S 4.3142 5.0861 1.2641
S 8.3630 6.9431 3.9440
S 8.1124 3.4630 4.9974
S 8.3630 1.2546 7.8859
S 0.0000 0.0000 0.0000
S 4.3142 -0.6024 5.2061
S 4.5649 2.8777 4.1527
Sb 8.8446 2.0803 3.0020
Sb 3.8326 4.2604 6.1481
```

Output
Magnetization, μB per formula unit: 0.00
Crystal system: monoclinic
Total energy, eV/atom: -4.194
ΔE_f (raw), kJ/mol of atoms: -10.9

16.
Computed, not measured: Bi3SbS3 after structural relaxation at the GGA-PBE level of DFT.

Structure (extended XYZ):
```
14
Lattice="-4.1725 -0.2162 7.1913 -7.8666 -2.6947 0.1641 -1.7034 -7.6434 3.5913" Properties=species:S:1:pos:R:3 pbc="T T T"
Bi -5.7008 -3.5356 3.2255
Bi -8.0416 -7.0187 7.7211
Bi -9.8096 -4.6921 4.7811
Bi -3.9328 -5.8622 6.1656
Bi -7.0845 -7.4423 3.3003
Bi -6.6579 -3.1120 7.6464
S -9.0819 -4.4382 7.5767
S -5.5989 -5.5899 8.3541
S -8.1435 -4.9644 2.5926
S -4.5133 -3.1781 5.6957
S -9.2291 -7.3763 5.2510
S -4.6605 -6.1162 3.3700
Sb -5.7180 -8.6089 6.0423
Sb -8.0244 -1.9454 4.9044
```

Output
Magnetization, μB per formula unit: 0.00
Crystal system: trigonal
Total energy, eV/atom: -4.126
ΔE_f (raw), kJ/mol of atoms: -10.1

17.
Computed, not measured: BiSbS2 after structural relaxation at the GGA-PBE level of DFT.

Structure (extended XYZ):
```
8
Lattice="7.5932 0.0000 0.0000 0.0000 7.5932 0.0000 3.7966 3.7966 3.4727" Properties=species:S:1:pos:R:3 pbc="T T T"
Sb 3.7966 7.5932 1.7364
Sb 3.7966 3.7966 0.0000
S 5.6949 5.7557 2.6045
S 9.4916 9.4308 2.6045
S 5.6341 1.8983 0.8682
S 1.9591 5.6949 0.8682
Bi 0.0000 0.0000 0.0000
Bi 7.5932 3.7966 1.7364
```

Output
Magnetization, μB per formula unit: 0.00
Crystal system: tetragonal
Total energy, eV/atom: -4.071
Relative energy among the computed polymorphs, eV per formula unit: 0.345
ΔE_f (raw), kJ/mol of atoms: -0.6

18.
Computed, not measured: Bi3Sb5S12 after structural relaxation at the GGA-PBE level of DFT.

Structure (extended XYZ):
```
80
Lattice="14.1953 0.0000 0.0000 -4.7318 13.3834 0.0000 -4.7318 -6.6917 11.5904" Properties=species:S:1:pos:R:3 pbc="T T T"
Bi 3.5488 7.5282 7.2440
Bi 1.1829 -0.8365 4.3464
Bi 10.6464 0.0000 2.8976
Bi -3.5488 -2.5094 10.1416
Bi -3.5488 2.5094 10.1416
Bi 8.2806 9.2011 1.4488
Bi -1.1829 5.8552 7.2440
Bi 1.1829 6.6917 2.8976
Bi 5.9147 0.8365 4.3464
Bi 3.5488 0.0000 8.6928
Bi 8.2806 4.1823 1.4488
Bi -5.9147 6.6917 8.6928
S 2.8281 4.9747 1.0163
S -2.4579 3.1058 7.3370
S -2.9800 7.5186 9.0322
S 4.6397 2.1306 6.7740
S -4.8238 9.7975 4.2534
S 9.3715 1.4553 0.5630
S 2.4579 -2.1306 6.7740
S -1.9037 -0.0217 9.5952
S 5.7161 -0.9787 6.8115
S 7.1897 3.5860 4.2534
S 7.1897 11.9281 0.5630
S 1.9037 -1.7387 10.6115
S 2.8281 8.4304 0.9788
S 4.1176 -1.5439 3.8000
S 5.1940 1.7387 10.6115
S 7.7118 -0.8269 2.5582
S -2.4579 -5.2364 11.0274
S 9.9257 6.6701 1.9952
S -0.9843 7.6704 4.7788
S -0.6141 0.8269 2.5582
S -1.3816 -3.6492 8.3534
S 10.4478 3.0425 3.2370
S 6.6354 6.7134 1.9952
S -0.4622 4.9530 0.9788
S -1.3816 4.6280 10.0486
S 1.9037 1.7171 10.5740
S 0.6141 8.2356 7.7904
S 2.2738 8.8224 4.8164
S 9.5556 -3.1058 7.3370
S 5.1940 -1.7171 10.5740
S -0.4622 8.4088 1.0163
S 8.4792 -4.6280 10.0486
S 0.0921 4.5611 4.8164
S 3.3502 5.7130 4.7788
S 6.1133 2.0638 1.5418
S -3.7474 11.3197 1.5418
S 8.8494 0.7170 5.2322
S -5.7161 3.6492 8.3534
S 5.3459 5.8648 9.0322
S 1.3816 0.9787 6.8115
S -4.6397 5.2364 11.0274
S 2.9800 1.5439 3.8000
S 6.1133 10.3410 3.2370
S -5.1940 0.0217 9.5952
S 6.4835 7.4087 6.3582
S -1.7517 -0.7170 5.2322
S -4.1176 5.9747 6.3582
S 1.7517 5.1479 7.7904
Sb 5.9147 3.3459 8.6928
Sb -2.3659 6.6917 0.0000
Sb -1.1829 3.3459 2.8976
Sb 0.0000 0.0000 0.0000
Sb 3.5488 10.0376 2.8976
Sb 7.0976 0.0000 0.0000
Sb 2.3659 3.3459 5.7952
Sb -3.5488 7.5282 4.3464
Sb 4.7318 -3.3459 5.7952
Sb -1.1829 0.8365 7.2440
Sb 8.2806 -0.8365 7.2440
Sb 4.7318 6.6917 0.0000
Sb 5.9147 5.8552 4.3464
Sb -1.1829 10.8740 1.4488
Sb 5.9147 -4.1823 10.1416
Sb -2.3659 -3.3459 5.7952
Sb -4.7318 3.3459 5.7952
Sb 3.5488 2.5094 1.4488
Sb 1.1829 -3.3459 8.6928
Sb 1.1829 4.1823 10.1416
```

Output
Magnetization, μB per formula unit: 0.00
Crystal system: cubic
Total energy, eV/atom: -4.161
ΔE_f (raw), kJ/mol of atoms: -6.9

19.
Computed, not measured: BiSbS2 after structural relaxation at the GGA-PBE level of DFT.

Structure (extended XYZ):
```
4
Lattice="-3.3450 -1.5168 -0.6414 -0.9411 -1.0471 -3.4524 1.6445 -8.2229 0.0325" Properties=species:S:1:pos:R:3 pbc="T T T"
Sb -1.2179 -9.9203 -2.6989
S 0.9661 -6.5965 -0.2759
S -0.7701 -2.4338 -1.0652
Bi -1.2962 -5.4526 -2.0194
```

Output
Magnetization, μB per formula unit: 0.00
Crystal system: trigonal
Total energy, eV/atom: -4.119
Relative energy among the computed polymorphs, eV per formula unit: 0.155
ΔE_f (raw), kJ/mol of atoms: -5.2